PmSi3Ni: optimized geometry, PBE-GGA.

a = 10.811 Å, b = 10.811 Å, c = 4.042 Å
α = 90.00°, β = 90.00°, γ = 158.78°
Element x y z (fractional)
Pm 0.168 0.832 0.000
Pm 0.832 0.168 0.000
Si 0.055 0.945 0.500
Si 0.283 0.717 0.500
Si 0.444 0.556 0.000
Si 0.556 0.444 0.000
Si 0.717 0.283 0.500
Si 0.945 0.055 0.500
Ni 0.392 0.608 0.500
Ni 0.608 0.392 0.500

Calculated values
* total energy: -6.0309 eV per atom
* energy relative to the elements, uncorrected: -671 meV/atom
* polymorph energy (0 for the lowest one): 0.00 eV/f.u.
* total magnetization: 0.000 μB/f.u.
* space-group type: Cmmm (65)
* DOS(E_F): 0.35 states/eV per atom

***

ThMgTlSn: optimized geometry, PBE-GGA.

a = 5.347 Å, b = 5.347 Å, c = 5.347 Å
α = 60.00°, β = 60.00°, γ = 60.00°
Element x y z (fractional)
Th 0.000 0.000 0.000
Mg 0.500 0.500 0.500
Tl 0.250 0.250 0.250
Sn 0.750 0.750 0.750

Calculated values
* total energy: -3.9943 eV per atom
* polymorph energy (0 for the lowest one): 0.63 eV/f.u.
* total magnetization: 0.000 μB/f.u.
* space-group type: F-43m (216)
* ΔE_f: -0.148 eV/atom
* DOS(E_F): 0.74 states/eV per atom

***

ZrOs: optimized geometry, PBE-GGA.

a = 4.332 Å, b = 4.332 Å, c = 5.070 Å
α = 90.00°, β = 90.00°, γ = 120.00°
Element x y z (fractional)
Zr 0.333 0.667 0.250
Zr 0.667 0.333 0.750
Os 0.000 0.000 0.000
Os 0.000 0.000 0.500

Calculated values
* total energy: -10.0401 eV per atom
* total magnetization: 0.000 μB/f.u.
* space-group type: P6_3/mmc (194)
* ΔE_f: -0.151 eV/atom
* DOS(E_F): 0.73 states/eV per atom

***

DOS(E_F) of number 3 (ZrOs)? 0.73 states/eV per atom

***

What is the formula in the first record? PmSi3Ni